Compound: CsSr
Source: the Alexandria database
Functional: GGA-PBE
Structure: relaxed

Results
The value obtained for the formation enthalpy at 0 K is 0.1105 eV per atom.

Lattice parameters (Å, degrees): 4.6162 4.6138 14.3807 90.00 90.02 90.00
Space group P2_1/m (No. 11)
Asymmetric unit:
Cs  0.2493  0.2500  0.3456 [2 per cell]
Sr  0.2501  0.2500  0.9048 [2 per cell]